1.
A plane-wave DFT calculation with PBE was carried out for a relaxed structure of PmErPb2.

Output
* size of the total moment: 0.00 μB per formula unit
* volume: 33.44 A^3/atom
* energy relative to the elements: -334 meV/atom
* DFT total energy: -18.06 eV per cell

abc: 4.7885 4.7885 7.2812
angles: 70.80 70.80 60.00
Fractional coordinates of all 4 atoms:
Pb 0.0877 0.0877 0.7369
Pm 0.6714 0.6714 0.9857
Er 0.4940 0.4940 0.5181
Pb 0.2469 0.2469 0.2592

---

2.
A plane-wave DFT calculation with PBE was carried out for a relaxed structure of Mn3HN.

Output
* size of the total moment: 5.57 μB per formula unit
* volume: 10.39 A^3/atom
* ΔE to the lowest computed polymorph: 496.3 meV/atom
* DFT total energy: -37.23 eV per cell

abc: 3.7316 3.7316 3.7316
angles: 90.00 90.00 90.00
Last column: magnetic moment on the atom in μB.
Fractional coordinates of all 5 atoms:
N 0.0000 0.0000 0.0000  -0.12
Mn 0.5000 0.0000 0.0000  1.58
Mn 0.0000 0.0000 0.5000  2.17
Mn 0.0000 0.5000 0.0000  1.80
H 0.5000 0.5000 0.5000  -0.02

---

3.
A plane-wave DFT calculation with PBE was carried out for a relaxed structure of YThTeC.

Output
* size of the total moment: 0.53 μB per formula unit
* volume: 23.63 A^3/atom
* uncorrected formation energy: -826 meV per atom
* DFT total energy: -29.55 eV per cell

abc: 3.8625 3.8623 7.6475
angles: 90.00 104.62 120.00
Last column: magnetic moment on the atom in μB.
Fractional coordinates of all 4 atoms:
Y 0.0968 0.9464 0.0584  0.08
C 0.3048 0.5503 0.8703  -0.01
Th 0.5131 0.1545 0.6828  0.17
Te 0.9633 0.3796 0.3581  0.00

---

4.
A plane-wave DFT calculation with PBE was carried out for a relaxed structure of Ba2GaSn.

Output
* size of the total moment: 0.00 μB per formula unit
* volume: 39.41 A^3/atom
* ΔE to the lowest computed polymorph: 451.6 meV/atom
* energy relative to the elements: -91 meV/atom
* DFT total energy: -22.48 eV per cell

abc: 9.3142 9.3142 7.5222
angles: 51.75 51.75 90.00
Fractional coordinates of all 8 atoms:
Ba 0.1405 0.6250 0.2500
Ba 0.8750 0.8595 0.7500
Ba 0.6095 0.1250 0.2500
Ga 0.5000 0.5000 0.0000
Sn 0.0000 0.0000 0.0000
Sn 0.7500 0.2500 0.5000
Ga 0.2500 0.7500 0.5000
Ba 0.3750 0.3905 0.7500

---

5.
A plane-wave DFT calculation with PBE was carried out for a relaxed structure of MgInGa4.

Output
* size of the total moment: 0.00 μB per formula unit
* volume: 21.19 A^3/atom
* ΔE to the lowest computed polymorph: 36.8 meV/atom
* energy relative to the elements: 13 meV/atom
* DFT total energy: -32.72 eV per cell

abc: 5.2021 7.6637 7.5628
angles: 120.44 100.35 90.00
Fractional coordinates of all 12 atoms:
In 0.0765 0.2036 0.4072
Ga 0.3522 0.6781 0.3562
Ga 0.6478 0.3219 0.6438
Ga 0.5322 0.2968 0.2265
Ga 0.4678 0.0703 0.7735
Mg 0.7875 0.5620 0.1239
Ga 0.5322 0.9297 0.2265
Ga 0.4678 0.7032 0.7735
In 0.9235 0.7964 0.5928
Ga 0.0000 0.1826 0.0000
Ga 0.0000 0.8174 0.0000
Mg 0.2125 0.4380 0.8761

---

6.
A plane-wave DFT calculation with PBE was carried out for a relaxed structure of Tm4Te3Ir.

Output
* size of the total moment: 0.00 μB per formula unit
* volume: 27.92 A^3/atom
* ΔE to the lowest computed polymorph: 0.0 meV/atom
* uncorrected formation energy: -1157 meV per atom
* DFT total energy: -45.42 eV per cell

abc: 4.1647 7.5217 7.5217
angles: 108.54 90.00 90.00
Fractional coordinates of all 8 atoms:
Te 0.5000 0.5000 0.5000
Ir 0.5000 0.0000 0.0000
Te 0.0000 0.0000 0.5000
Tm 0.5000 0.2251 0.7749
Te 0.0000 0.5000 0.0000
Tm 0.5000 0.7749 0.2251
Tm 0.0000 0.7929 0.7929
Tm 0.0000 0.2071 0.2071

---

7.
A plane-wave DFT calculation with PBE was carried out for a relaxed structure of PuGa2AgAu4.

Output
* size of the total moment: 5.42 μB per formula unit
* volume: 19.92 A^3/atom
* energy relative to the elements: -227 meV/atom
* DFT total energy: -38.16 eV per cell

abc: 4.5168 4.5168 9.3883
angles: 76.08 76.08 60.00
Last column: magnetic moment on the atom in μB.
Fractional coordinates of all 8 atoms:
Au 0.1241 0.1241 0.6276  0.00
Au 0.8759 0.8759 0.3724  0.00
Ag 0.5000 0.5000 0.5000  0.00
Pu 0.0000 0.0000 0.0000  5.21
Au 0.3930 0.3930 0.8211  -0.01
Ga 0.7535 0.7535 0.7394  0.00
Ga 0.2465 0.2465 0.2606  0.00
Au 0.6070 0.6070 0.1789  -0.01

---

8.
A plane-wave DFT calculation with PBE was carried out for a relaxed structure of RbSnP3.

Output
* size of the total moment: 0.00 μB per formula unit
* volume: 28.49 A^3/atom
* ΔE to the lowest computed polymorph: 0.0 meV/atom
* energy relative to the elements: 656 meV/atom
* DFT total energy: -17.92 eV per cell

abc: 5.2227 5.2227 5.2227
angles: 90.00 90.00 90.00
Fractional coordinates of all 5 atoms:
Rb 0.5000 0.5000 0.5000
P 0.5000 0.0000 0.0000
P 0.0000 0.5000 0.0000
Sn 0.0000 0.0000 0.0000
P 0.0000 0.0000 0.5000